Li2PuI4: optimized geometry, PBE.

Values from the calculation:
- Formation energy without anion corrections: -1093.6 meV per atom
- DOS(E_F): 70.69 states/eV/cell

Lattice parameters (Å, degrees): 8.7994 8.9033 12.9324 90.00 90.00 90.00
Last column: nearest neighbours and their distance in Å.
Space group Imma (No. 74)
Unique sites:
Li: 0.0000 0.0000 0.0000 [4 per cell]  6 I 3.02-3.16
Li: 0.0000 0.2500 0.3885 [4 per cell]  4 I 2.78-2.84
Pu: 0.2500 0.2500 0.7500 [4 per cell]  6 I 3.19-3.21
I: 0.0000 0.0095 0.2439 [8 per cell]  2 Li 2.84-3.16
I: 0.2323 0.2500 0.9977 [8 per cell]  3 Li 2.78-3.02



Li5Pu3I12: optimized geometry, PBE.

Values from the calculation:
- Formation energy without anion corrections: -1096.0 meV per atom
- DOS(E_F): 322.76 states/eV/cell

Lattice parameters (Å, degrees): 17.7992 17.7992 17.7992 90.00 90.00 90.00
Last column: nearest neighbours and their distance in Å.
Space group Ia-3d (No. 230)
Unique sites:
Li: 0.0000 0.0000 0.0000 [16 per cell]  6 I 2.98
Li: 0.0000 0.2500 0.3750 [24 per cell]  4 I 2.70
Pu: 0.0000 0.2500 0.1250 [24 per cell]  8 I 3.40-3.42
I: 0.0277 0.0632 0.6523 [96 per cell]  2 Li 2.70-2.98



LiPuI4: optimized geometry, PBE.

Values from the calculation:
- Formation energy without anion corrections: -1101.7 meV per atom
- DOS(E_F): 25.50 states/eV/cell

Lattice parameters (Å, degrees): 16.8818 4.4422 7.6050 90.00 116.58 90.00
Last column: nearest neighbours and their distance in Å.
Space group C2/m (No. 12)
Unique sites:
Li: 0.0000 0.0000 0.0000 [2 per cell]  6 I 3.02-3.12
Pu: 0.0000 0.5000 0.5000 [2 per cell]  6 I 3.06-3.12
I: 0.1090 0.5000 0.2696 [4 per cell]  2 Li 3.02, 1 Pu 3.06
I: 0.1194 0.0000 0.7830 [4 per cell]  2 Pu 3.12, 1 Li 3.12



LiPu5I12: optimized geometry, PBE.

Values from the calculation:
- Formation energy without anion corrections: -1104.6 meV per atom
- DOS(E_F): 131.70 states/eV/cell

Lattice parameters (Å, degrees): 7.6949 13.3380 15.8762 90.00 90.03 90.00
Last column: nearest neighbours and their distance in Å.
Space group C2/m (No. 12)
Unique sites:
Li: 0.0000 0.0000 0.0000 [2 per cell]  6 I 3.08
Pu: 0.0000 0.1667 0.5000 [4 per cell]  6 I 3.18
Pu: 0.0000 0.3334 0.0000 [4 per cell]  6 I 3.16
Pu: 0.0000 0.5000 0.5000 [2 per cell]  6 I 3.18
I: 0.1624 0.1625 0.1129 [8 per cell]  1 Li 3.08, 2 Pu 3.16
I: 0.1665 0.3334 0.3815 [8 per cell]  3 Pu 3.18
I: 0.1665 0.0000 0.3815 [4 per cell]  3 Pu 3.18
I: 0.1748 0.5000 0.1130 [4 per cell]  1 Li 3.08, 2 Pu 3.16



LiPuI2: optimized geometry, PBE.

Values from the calculation:
- Formation energy without anion corrections: -793.4 meV per atom
- DOS(E_F): 22.63 states/eV/cell

Lattice parameters (Å, degrees): 4.0419 4.0419 24.9854 90.00 90.00 120.00
Last column: nearest neighbours and their distance in Å.
Space group R-3m (No. 166, hexagonal axes)
Unique sites:
Li: 0.0000 0.0000 0.0000 [3 per cell]  6 I 2.94
Pu: 0.0000 0.0000 0.5000 [3 per cell]  6 I 3.33
I: 0.0000 0.0000 0.2616 [6 per cell]  3 Li 2.94



Li3Pu2I9: optimized geometry, PBE.

Values from the calculation:
- Formation energy without anion corrections: -1106.1 meV per atom
- DOS(E_F): 50.04 states/eV/cell

Lattice parameters (Å, degrees): 7.9880 7.9880 23.0001 90.00 90.00 120.00
Last column: nearest neighbours and their distance in Å.
Space group P6_3/mcm (No. 193)
Unique sites:
Li: 0.0000 0.3348 0.2500 [6 per cell]  3 I 2.66
Pu: 0.3333 0.6667 0.0000 [4 per cell]  6 I 3.10
I: 0.0000 0.3318 0.7500 [6 per cell]  3 Li 2.66
I: 0.0000 0.3614 0.0764 [12 per cell]  2 Pu 3.10